CaAc3Co2O9 | GGA+U | relaxed Values from VASP.

```
&SYSTEM
  ibrav = 0, nat = 15, ntyp = 4
/
ATOMIC_SPECIES
Ca 40.08 Ca.upf
Ac 227.00 Ac.upf
Co 58.93 Co.upf
O 16.00 O.upf
CELL_PARAMETERS angstrom
-0.806 -2.995 -4.672
4.434 -1.044 3.270
-3.816 -4.704 3.673
ATOMIC_POSITIONS angstrom
Ca -1.908 -2.352 1.837
Ac 0.042 -4.955 3.169
Ac 0.000 0.000 0.000
Ac -0.230 -3.787 -0.898
Co 2.072 -2.453 1.216
Co -2.259 -6.289 1.056
O -2.512 -5.898 -0.725
O -0.439 -6.386 0.804
O -2.135 -4.498 1.460
O 1.948 -4.245 0.812
O 0.251 -2.356 1.467
O 2.324 -2.844 2.996
O -0.403 -1.497 -2.336
O 2.217 -0.522 1.635
O 1.814 -2.019 -0.701
```

Calculated values
Crystal system   trigonal
Total DFT energy (no corrections)   -104.6 eV for the cell shown
Total moment   1.011 Bohr magnetons per cell
Fermi-level density of states   7.7 states/eV/cell